No. 1
Li4AlW | PBE | optimized geometry

Summary:
Energy of formation from the pure elements   0.4709 eV/atom
Density   4.7 Mg/m³

Cell: 6.974 6.974 6.974 Å, 90.00 90.00 90.00°
Space group F-43m (No. 216)
One atom of each set of equivalent atoms:
Li1 0.124 0.124 0.124 x16
Al1 0.000 0.000 0.500 x4
W1 0.250 0.250 0.750 x4

***

No. 2
La4Sm2Er | PBE | optimized geometry

Summary:
Energy of formation from the pure elements   0.2050 eV/atom
Density   6.8 Mg/m³
Energy relative to the lowest polymorph listed for this composition   184 meV/atom

Cell: 6.961 11.667 12.318 Å, 90.00 90.00 90.00°
Space group Imma (No. 74)
One atom of each set of equivalent atoms:
La1 0.000 0.004 0.149 x8
La2 0.219 0.250 0.993 x8
Sm1 0.000 0.000 0.500 x4
Sm2 0.000 0.250 0.716 x4
Er1 0.250 0.250 0.250 x4